# 1
The following is a DFT calculation (PBE) of crystalline MgGe3 at its relaxed geometry.

As for the total magnetic moment: 0.0 μB/cell.

a = 3.9079 Å, b = 4.5326 Å, c = 4.4311 Å
α = 90.00°, β = 90.00°, γ = 90.00°
Space group Pmm2 (No. 25)
Symmetry-distinct sites (fractional):
Mg 0.0000 0.0000 0.0000 [1 per cell]
Ge 0.0000 0.5000 0.4542 [1 per cell]
Ge 0.5000 0.0000 0.4878 [1 per cell]
Ge 0.5000 0.5000 0.8825 [1 per cell]



# 2
The following is a DFT calculation (PBE) of crystalline MgGe3 at its relaxed geometry.

As for the total magnetic moment: 0.0 μB/cell.

a = 3.7326 Å, b = 10.4415 Å, c = 4.0849 Å
α = 90.00°, β = 90.00°, γ = 90.00°
Space group Imm2 (No. 44)
Symmetry-distinct sites (fractional):
Mg 0.0000 0.0000 0.0000 [2 per cell]
Ge 0.0000 0.2742 0.2628 [4 per cell]
Ge 0.0000 0.5000 0.9925 [2 per cell]



# 3
The following is a DFT calculation (PBE) of crystalline MgGe at its relaxed geometry.

As for the total magnetic moment: 0.0 μB/cell.

a = 3.8150 Å, b = 15.9026 Å, c = 4.1788 Å
α = 90.00°, β = 90.00°, γ = 90.00°
Space group Pmmn (No. 59, origin choice 2)
Symmetry-distinct sites (fractional):
Mg 0.2500 0.0842 0.0011 [4 per cell]
Mg 0.2500 0.7500 0.5222 [2 per cell]
Ge 0.2500 0.2500 0.9766 [2 per cell]
Ge 0.2500 0.5554 0.4992 [4 per cell]



# 4
The following is a DFT calculation (PBE) of crystalline MgGe at its relaxed geometry.

As for the total magnetic moment: 0.0 μB/cell.

a = 6.1743 Å, b = 6.1743 Å, c = 6.1743 Å
α = 90.00°, β = 90.00°, γ = 90.00°
Space group F-43m (No. 216)
Symmetry-distinct sites (fractional):
Mg 0.0000 0.0000 0.0000 [4 per cell]
Ge 0.2500 0.2500 0.7500 [4 per cell]



# 5
The following is a DFT calculation (PBE) of crystalline MgGe at its relaxed geometry.

As for the total magnetic moment: 0.0 μB/cell.

a = 6.4515 Å, b = 7.6757 Å, c = 3.1356 Å
α = 90.00°, β = 90.00°, γ = 90.00°
Space group Cmmm (No. 65)
Symmetry-distinct sites (fractional):
Mg 0.0000 0.2235 0.0000 [4 per cell]
Ge 0.2149 0.5000 0.5000 [4 per cell]



# 6
The following is a DFT calculation (PBE) of crystalline MgGe at its relaxed geometry.

As for the total magnetic moment: 0.0 μB/cell.

a = 3.2631 Å, b = 4.6824 Å, c = 15.7207 Å
α = 90.00°, β = 90.00°, γ = 90.00°
Space group Immm (No. 71)
Symmetry-distinct sites (fractional):
Mg 0.0000 0.0000 0.0000 [2 per cell]
Mg 0.0000 0.5000 0.1774 [4 per cell]
Ge 0.0000 0.0000 0.5000 [2 per cell]
Ge 0.0000 0.5000 0.3554 [4 per cell]



# 7
The following is a DFT calculation (PBE) of crystalline MgGe at its relaxed geometry.

As for the total magnetic moment: 0.0 μB/cell.

a = 5.3109 Å, b = 6.2511 Å, c = 9.9825 Å
α = 90.00°, β = 90.00°, γ = 90.00°
Space group P2_12_12_1 (No. 19)
Symmetry-distinct sites (fractional):
Mg 0.1350 0.1048 0.0558 [4 per cell]
Mg 0.1384 0.2447 0.7407 [4 per cell]
Ge 0.1246 0.1527 0.3453 [4 per cell]
Ge 0.1444 0.5254 0.9557 [4 per cell]



# 8
The following is a DFT calculation (PBE) of crystalline MgGe3 at its relaxed geometry.

As for the total magnetic moment: 0.0 μB/cell.

a = 5.8429 Å, b = 5.8429 Å, c = 5.2858 Å
α = 90.00°, β = 90.00°, γ = 120.00°
Space group P6_3/mmc (No. 194)
Symmetry-distinct sites (fractional):
Mg 0.3333 0.6667 0.2500 [2 per cell]
Ge 0.1627 0.3254 0.7500 [6 per cell]



# 9
The following is a DFT calculation (PBE) of crystalline Mg2MnGe at its relaxed geometry.

As for the total magnetic moment: 13.8 μB/cell.

a = 7.6888 Å, b = 7.6888 Å, c = 5.4723 Å
α = 90.00°, β = 90.00°, γ = 90.00°
Space group I-42d (No. 122)
Symmetry-distinct sites (fractional):
Mg 0.2313 0.7500 0.1250 [8 per cell]
Mn 0.0000 0.0000 0.5000 [4 per cell]
Ge 0.0000 0.0000 0.0000 [4 per cell]



# 10
The following is a DFT calculation (PBE) of crystalline MgMnGe2 at its relaxed geometry.

As for the total magnetic moment: 0.0 μB/cell.

a = 3.0529 Å, b = 3.0529 Å, c = 6.7363 Å
α = 90.00°, β = 90.00°, γ = 90.00°
Space group P4/mmm (No. 123)
Symmetry-distinct sites (fractional):
Mg 0.0000 0.0000 0.0000 [1 per cell]
Mn 0.0000 0.0000 0.5000 [1 per cell]
Ge 0.5000 0.5000 0.2989 [2 per cell]



# 11
The following is a DFT calculation (PBE) of crystalline Mg2MnGe2 at its relaxed geometry.

As for the total magnetic moment: 5.2 μB/cell.

a = 9.6870 Å, b = 9.6870 Å, c = 12.7457 Å
α = 90.00°, β = 90.00°, γ = 90.00°
Space group P4/mmm (No. 123)
Symmetry-distinct sites (fractional):
Mg 0.0000 0.0000 0.1136 [2 per cell]
Mn 0.0000 0.0000 0.5000 [1 per cell]
Ge 0.0000 0.0000 0.3197 [2 per cell]



# 12
The following is a DFT calculation (PBE) of crystalline MgMn3Ge at its relaxed geometry.

As for the total magnetic moment: 10.9 μB/cell.

a = 4.6242 Å, b = 4.6242 Å, c = 4.6242 Å
α = 90.00°, β = 90.00°, γ = 90.00°
Space group Pm-3m (No. 221)
Symmetry-distinct sites (fractional):
Mg 0.0000 0.0000 0.0000 [1 per cell]
Mn 0.0000 0.0000 0.5000 [3 per cell]
Ge 0.5000 0.5000 0.5000 [1 per cell]



no.,density of states at the Fermi level (states/eV/atom),mass density (g cm⁻³),formation energy from the elements (eV per atom)
1,0.37,5.12,0.092
2,0.36,5.05,0.076
3,0.25,3.81,-0.072
4,1.02,2.74,0.549
5,0.30,4.15,-0.096
6,0.35,4.02,-0.065
7,0.13,3.89,-0.107
8,0.40,5.15,0.113
9,0.54,3.62,0.355
10,0.66,5.94,0.032
11,0.31,0.35,1.575
12,0.33,4.40,1.294